Record 1
## La6IrPd2Cl3 (PBE)

Data for crystalline La6IrPd2Cl3 at its relaxed geometry.

```
La6IrPd2Cl3
1.0
4.244 0.000 0.000
0.000 9.045 -0.081
-2.122 -3.023 9.251
La Ir Pd Cl
6 1 2 3
direct
0.347 0.899 0.693
0.674 0.564 0.348
0.653 0.101 0.307
0.007 0.220 0.014
0.993 0.780 0.986
0.326 0.436 0.652
0.500 0.000 0.000
0.832 0.663 0.664
0.168 0.337 0.336
0.500 0.500 0.000
0.833 0.168 0.666
0.167 0.832 0.334
```

Properties
**DFT total energy**: -69.2 eV per formula unit
**Volume**: 354.1 Å³/cell
**Fermi-level density of states**: 0.84 states/eV per atom
**ΔE_f (raw)**: -1.236 eV per atom

=====

Record 2
## Y2MgCrN (PBE)

Data for crystalline Y2MgCrN at its relaxed geometry.

```
Y2MgCrN
1.0
5.027 0.000 0.000
0.000 5.027 0.000
0.000 0.000 3.805
Y Cr Mg N
2 1 1 1
direct
0.000 0.500 0.000
0.500 0.000 0.000
0.000 0.000 0.500
0.500 0.500 0.500
0.000 0.000 0.000
```

Properties
**DFT total energy**: -35.1 eV per formula unit
**Volume**: 96.2 Å³/cell
**Fermi-level density of states**: 0.73 states/eV per atom
**ΔE_f (raw)**: -0.531 eV per atom

=====

Record 3
## HgPdI2 (PBE)

Data for crystalline HgPdI2 at its relaxed geometry.

```
HgPdI2
1.0
0.000 3.792 3.792
3.792 0.000 3.792
3.792 3.792 0.000
I Hg Pd
2 1 1
direct
0.250 0.250 0.250
0.750 0.750 0.750
0.500 0.500 0.500
0.000 0.000 0.000
```

Properties
**DFT total energy**: -7.1 eV per formula unit
**Volume**: 109.0 Å³/cell
**Fermi-level density of states**: 1.31 states/eV per atom
**Energy above the most stable polymorph in this dataset**: 0.527 eV/atom
**ΔE_f (raw)**: 0.377 eV per atom

=====

Record 4
## HfSn4Mo (PBE)

Data for crystalline HfSn4Mo at its relaxed geometry.

```
HfSn4Mo
1.0
0.085 6.784 1.411
0.933 1.387 -6.725
-6.191 -3.860 1.915
Hf Sn Mo
2 8 2
direct
0.500 0.500 0.000
0.000 0.000 0.000
0.484 0.984 0.276
0.984 0.792 0.276
0.292 0.484 0.276
0.708 0.516 0.724
0.016 0.208 0.724
0.516 0.016 0.724
0.208 0.708 0.724
0.792 0.292 0.276
0.250 0.250 0.500
0.750 0.750 0.500
```

Properties
**DFT total energy**: -37.5 eV per formula unit
**Volume**: 275.4 Å³/cell
**Fermi-level density of states**: 0.31 states/eV per atom
**ΔH_f (0 K)**: -0.12 eV per atom

=====

Record 5
## NaLa2MgOs (PBE)

Data for crystalline NaLa2MgOs at its relaxed geometry.

```
NaLa2MgOs
1.0
-4.424 3.306 0.438
-0.939 -0.537 -5.434
-3.116 -4.298 0.963
Na Mg Os La
1 1 1 2
direct
0.500 0.500 0.500
0.000 0.000 0.500
0.000 0.000 0.000
0.000 0.500 0.000
0.500 0.000 0.000
```

Properties
**DFT total energy**: -24.0 eV per formula unit
**Volume**: 165.6 Å³/cell
**Fermi-level density of states**: 0.83 states/eV per atom
**ΔH_f (0 K)**: -0.01 eV per atom

=====

Record 6
## ZnRe2Ag (PBE)

Data for crystalline ZnRe2Ag at its relaxed geometry.

```
ZnRe2Ag
1.0
2.727 0.002 0.000
-1.171 2.463 0.000
0.000 0.000 9.344
Ag Re Zn
1 2 1
direct
0.500 0.500 0.743
0.000 0.000 0.015
0.500 0.500 0.247
0.000 0.000 0.494
```

Properties
**DFT total energy**: -27.9 eV per formula unit
**Volume**: 62.8 Å³/cell
**Fermi-level density of states**: 0.62 states/eV per atom
**ΔH_f (0 K)**: 0.29 eV per atom

=====

Record 7
## BeZn2AsPt (PBE)

Data for crystalline BeZn2AsPt at its relaxed geometry.

```
BeZn2AsPt
1.0
4.789 0.000 0.000
0.000 4.011 0.000
0.000 0.000 4.789
Be As Zn Pt
1 1 2 1
direct
0.000 0.500 0.000
0.000 0.000 0.000
0.000 0.000 0.500
0.500 0.000 0.000
0.500 0.500 0.500
```

Properties
**DFT total energy**: -14.0 eV per formula unit
**Volume**: 92.0 Å³/cell
**Fermi-level density of states**: 0.62 states/eV per atom
**ΔH_f (0 K)**: 0.59 eV per atom

=====

Record 8
## Nd8Sb2Au3 (PBE)

Data for crystalline Nd8Sb2Au3 at its relaxed geometry.

```
Nd8Sb2Au3
1.0
6.385 0.000 0.902
0.000 8.230 0.000
-1.655 -4.115 7.681
Nd Sb Au
8 2 3
direct
0.866 0.583 0.166
0.134 0.417 0.834
0.863 0.165 0.331
0.137 0.835 0.669
0.634 0.612 0.775
0.634 0.163 0.775
0.366 0.837 0.225
0.366 0.388 0.225
0.368 0.250 0.500
0.632 0.750 0.500
0.500 0.000 0.000
0.000 0.174 0.000
0.000 0.826 0.000
```

Properties
**DFT total energy**: -63.1 eV per formula unit
**Volume**: 415.9 Å³/cell
**Fermi-level density of states**: 1.15 states/eV per atom
**ΔE_f (raw)**: -0.529 eV per atom

=====

Record 9
## Tb2CePu (PBE)

Data for crystalline Tb2CePu at its relaxed geometry.

```
Tb2CePu
1.0
5.580 0.000 0.000
2.790 4.832 0.000
2.790 1.611 4.556
Tb Ce Pu
2 1 1
direct
0.250 0.250 0.250
0.750 0.750 0.750
0.500 0.500 0.500
0.000 0.000 0.000
```

Properties
**DFT total energy**: -28.4 eV per formula unit
**Volume**: 122.8 Å³/cell
**Fermi-level density of states**: 4.06 states/eV per atom
**ΔH_f (0 K)**: 0.27 eV per atom
**Energy above the most stable polymorph in this dataset**: 0.132 eV/atom

=====

Record 10
## InPdPt3 (PBE)

Data for crystalline InPdPt3 at its relaxed geometry.

```
InPdPt3
1.0
4.028 0.000 0.000
0.000 5.714 0.000
0.000 0.000 14.192
In Pd Pt
4 4 12
direct
0.250 0.131 0.353
0.750 0.869 0.647
0.750 0.369 0.853
0.250 0.631 0.147
0.250 0.623 0.549
0.750 0.377 0.451
0.750 0.877 0.049
0.250 0.123 0.951
0.750 0.377 0.250
0.250 0.629 0.948
0.250 0.128 0.150
0.250 0.628 0.350
0.250 0.129 0.552
0.750 0.372 0.650
0.250 0.123 0.750
0.750 0.872 0.850
0.750 0.371 0.052
0.750 0.877 0.250
0.750 0.871 0.448
0.250 0.623 0.750
```

Properties
**DFT total energy**: -27.6 eV per formula unit
**Volume**: 326.7 Å³/cell
**Fermi-level density of states**: 0.94 states/eV per atom
**ΔH_f (0 K)**: -0.32 eV per atom
**Energy above the most stable polymorph in this dataset**: 0.000 eV/atom